## i
The following is a PBE-GGA calculation of a relaxed Ti3ZnFe crystal, from Alexandria via LeMat-Bulk.

Properties
**Space-group type**: Pm-3m (221)
**Fermi-level density of states**: 8.0 states/eV per cell
**Magnetization**: 1.20 μB/f.u.

abc: 4.4776 4.4776 4.4776
angles: 90.00 90.00 90.00
Closest atoms and distances in Å follow each position.
Positions (direct):
Ti 0.0000 0.0000 0.5000  2 Fe 2.24
Ti 0.0000 0.5000 0.0000  2 Fe 2.24
Ti 0.5000 0.0000 0.0000  2 Fe 2.24
Zn 0.5000 0.5000 0.5000  12 Ti 3.17
Fe 0.0000 0.0000 0.0000  6 Ti 2.24


## ii
The following is a PBE-GGA calculation of a relaxed Ti3ZnFe crystal, from Alexandria via LeMat-Bulk.

Properties
**Space-group type**: Pm-3m (221)
**Fermi-level density of states**: 13.1 states/eV per cell
**Magnetization**: 0.00 μB/f.u.

abc: 4.5719 4.5719 4.5719
angles: 90.00 90.00 90.00
Closest atoms and distances in Å follow each position.
Positions (direct):
Ti 0.0000 0.0000 0.5000  2 Zn 2.29
Ti 0.0000 0.5000 0.0000  2 Zn 2.29
Ti 0.5000 0.0000 0.0000  2 Zn 2.29
Zn 0.0000 0.0000 0.0000  6 Ti 2.29
Fe 0.5000 0.5000 0.5000  12 Ti 3.23


Which one sits at the top of the stability order? i does.


## i
The following is a PBE-GGA calculation of a relaxed Ti6ZnFe crystal, from Alexandria via LeMat-Bulk.

Properties
**Space-group type**: C2/m (12)
**Fermi-level density of states**: 9.4 states/eV per cell
**Magnetization**: 1.82 μB/f.u.

abc: 5.5717 5.5717 5.5637
angles: 104.09 104.09 117.86
Closest atoms and distances in Å follow each position.
Positions (direct):
Ti 0.0196 0.4457 0.2430  1 Fe 2.46, 1 Zn 2.54, 1 Ti 2.75
Ti 0.2360 0.2360 0.7651  1 Fe 2.29
Ti 0.4457 0.0196 0.2430  1 Fe 2.46, 1 Zn 2.54, 1 Ti 2.75
Ti 0.5543 0.9804 0.7570  1 Fe 2.46, 1 Zn 2.54, 1 Ti 2.75
Ti 0.7640 0.7640 0.2349  1 Fe 2.29
Ti 0.9804 0.5543 0.7570  1 Fe 2.46, 1 Zn 2.54, 1 Ti 2.75
Zn 0.5000 0.5000 0.5000  6 Ti 2.54-2.57
Fe 0.0000 0.0000 0.0000  6 Ti 2.29-2.46


## ii
The following is a PBE-GGA calculation of a relaxed Ti6ZnFe crystal, from Alexandria via LeMat-Bulk.

Properties
**Space-group type**: I4/mmm (139)
**Fermi-level density of states**: 8.1 states/eV per cell
**Magnetization**: 0.00 μB/f.u.

abc: 7.5839 7.5839 7.5839
angles: 147.53 147.53 46.59
Closest atoms and distances in Å follow each position.
Positions (direct):
Ti 0.1137 0.6137 0.5000  2 Zn 2.65, 2 Fe 2.65, 4 Ti 2.85
Ti 0.2500 0.2500 0.0000  12 Ti 2.85-3.00
Ti 0.3863 0.8863 0.5000  2 Fe 2.65, 2 Zn 2.65, 4 Ti 2.85
Ti 0.6137 0.1137 0.5000  2 Zn 2.65, 2 Fe 2.65, 4 Ti 2.85
Ti 0.7500 0.7500 0.0000  12 Ti 2.85-3.00
Ti 0.8863 0.3863 0.5000  2 Fe 2.65, 2 Zn 2.65, 4 Ti 2.85
Zn 0.0000 0.0000 0.0000  8 Ti 2.65
Fe 0.5000 0.5000 0.0000  8 Ti 2.65


Which one sits at the top of the stability order? ii does.


## i
The following is a PBE-GGA calculation of a relaxed ZrTi2Fe crystal, from Alexandria via LeMat-Bulk.

Properties
**Space-group type**: Pnma (62)
**Fermi-level density of states**: 22.6 states/eV per cell
**Magnetization**: 0.00 μB/f.u.

abc: 5.7774 8.6007 5.5027
angles: 90.00 90.00 90.00
Closest atoms and distances in Å follow each position.
Positions (direct):
Zr 0.0263 0.2500 0.1398  2 Fe 2.56-2.72
Zr 0.4737 0.7500 0.6398  2 Fe 2.56-2.72
Zr 0.5263 0.2500 0.3602  2 Fe 2.56-2.72
Zr 0.9737 0.7500 0.8602  2 Fe 2.56-2.72
Ti 0.1888 0.0552 0.6562  2 Fe 2.39-2.41
Ti 0.1888 0.4448 0.6562  2 Fe 2.39-2.41
Ti 0.3112 0.5552 0.1562  2 Fe 2.39-2.41
Ti 0.3112 0.9448 0.1562  2 Fe 2.39-2.41
Ti 0.6888 0.0552 0.8438  2 Fe 2.39-2.41
Ti 0.6888 0.4448 0.8438  2 Fe 2.39-2.41
Ti 0.8112 0.5552 0.3438  2 Fe 2.39-2.41
Ti 0.8112 0.9448 0.3438  2 Fe 2.39-2.41
Fe 0.1030 0.7500 0.3841  4 Ti 2.39-2.41, 1 Zr 2.56
Fe 0.3970 0.2500 0.8841  4 Ti 2.39-2.41, 1 Zr 2.56
Fe 0.6030 0.7500 0.1159  4 Ti 2.39-2.41, 1 Zr 2.56
Fe 0.8970 0.2500 0.6159  4 Ti 2.39-2.41, 1 Zr 2.56


## ii
The following is a PBE-GGA calculation of a relaxed ZrTi2Fe crystal, from Alexandria via LeMat-Bulk.

Properties
**Space-group type**: Cmcm (63)
**Fermi-level density of states**: 5.4 states/eV per cell
**Magnetization**: 0.00 μB/f.u.

abc: 9.7019 9.7019 4.6442
angles: 90.00 90.00 161.99
Closest atoms and distances in Å follow each position.
Positions (direct):
Zr 0.1162 0.8838 0.7500  4 Fe 2.84, 2 Zr 3.04, 2 Ti 3.09
Zr 0.8838 0.1162 0.2500  4 Fe 2.84, 2 Zr 3.04, 2 Ti 3.09
Ti 0.2434 0.7566 0.2500  2 Fe 2.39
Ti 0.4660 0.5340 0.7500  1 Fe 2.17
Ti 0.5340 0.4660 0.2500  1 Fe 2.17
Ti 0.7566 0.2434 0.7500  2 Fe 2.39
Fe 0.3528 0.6472 0.7500  3 Ti 2.17-2.39
Fe 0.6472 0.3528 0.2500  3 Ti 2.17-2.39


## iii
The following is a PBE-GGA calculation of a relaxed ZrTi2Fe crystal, from Alexandria via LeMat-Bulk.

Properties
**Space-group type**: I-42d (122)
**Fermi-level density of states**: 5.4 states/eV per cell
**Magnetization**: 0.00 μB/f.u.

abc: 5.7381 5.7381 5.7381
angles: 103.23 103.23 122.84
Closest atoms and distances in Å follow each position.
Positions (direct):
Zr 0.0000 0.0000 0.0000  2 Fe 2.75, 8 Ti 2.92-3.04
Zr 0.7500 0.2500 0.5000  2 Fe 2.75, 8 Ti 2.92-3.04
Ti 0.1859 0.1250 0.5609  2 Fe 2.34
Ti 0.3750 0.8141 0.9391  2 Fe 2.34
Ti 0.5641 0.6250 0.4391  2 Fe 2.34
Ti 0.8750 0.4359 0.0609  2 Fe 2.34
Fe 0.2500 0.7500 0.5000  4 Ti 2.34
Fe 0.5000 0.5000 0.0000  4 Ti 2.34


## iv
The following is a PBE-GGA calculation of a relaxed ZrTi2Fe crystal, from Alexandria via LeMat-Bulk.

Properties
**Space-group type**: Fm-3m (225)
**Fermi-level density of states**: 8.4 states/eV per cell
**Magnetization**: 0.00 μB/f.u.

abc: 4.4894 4.4894 4.4894
angles: 60.00 60.00 60.00
Closest atoms and distances in Å follow each position.
Positions (direct):
Zr 0.0000 0.0000 0.0000  8 Ti 2.75
Ti 0.2500 0.2500 0.2500  4 Zr 2.75, 4 Fe 2.75
Ti 0.7500 0.7500 0.7500  4 Zr 2.75, 4 Fe 2.75
Fe 0.5000 0.5000 0.5000  8 Ti 2.75


Which one sits at the top of the stability order? i does.


## i
The following is a PBE-GGA calculation of a relaxed Tl5Fe crystal, from Alexandria via LeMat-Bulk.

Properties
**Space-group type**: F-43m (216)
**Fermi-level density of states**: 8.4 states/eV per cell
**Magnetization**: 3.18 μB/f.u.

abc: 6.3456 6.3456 6.3456
angles: 60.00 60.00 60.00
Closest atoms and distances in Å follow each position.
Positions (direct):
Tl 0.0000 0.0000 0.0000  12 Tl 3.72, 4 Fe 3.89
Tl 0.1265 0.6245 0.6245  6 Tl 3.16-3.19
Tl 0.6245 0.1265 0.6245  6 Tl 3.16-3.19
Tl 0.6245 0.6245 0.1265  6 Tl 3.16-3.19
Tl 0.6245 0.6245 0.6245  6 Tl 3.16-3.19
Fe 0.2500 0.2500 0.2500  16 Tl 3.72-3.89


## ii
The following is a PBE-GGA calculation of a relaxed Tl5Fe crystal, from Alexandria via LeMat-Bulk.

Properties
**Space-group type**: P-62m (189)
**Fermi-level density of states**: 5.3 states/eV per cell
**Magnetization**: 2.49 μB/f.u.

abc: 8.0431 8.0431 3.2781
angles: 90.00 90.00 120.00
Closest atoms and distances in Å follow each position.
Positions (direct):
Tl 0.0000 0.7211 0.0000  2 Fe 2.78
Tl 0.2789 0.2789 0.0000  2 Fe 2.78
Tl 0.3333 0.6667 0.5000  8 Tl 3.28-3.35
Tl 0.6667 0.3333 0.5000  8 Tl 3.28-3.35
Tl 0.7211 0.0000 0.0000  2 Fe 2.78
Fe 0.0000 0.0000 0.5000  6 Tl 2.78


Which one sits at the top of the stability order? ii does.


## i
The following is a PBE-GGA calculation of a relaxed Tl5Fe crystal, from Alexandria via LeMat-Bulk.

Properties
**Space-group type**: Cmmm (65)
**Fermi-level density of states**: 3.9 states/eV per cell
**Magnetization**: 2.36 μB/f.u.

abc: 11.7392 11.7392 3.1588
angles: 90.00 90.00 157.18
Closest atoms and distances in Å follow each position.
Positions (direct):
Tl 0.0000 0.0000 0.0000  4 Fe 2.81
Tl 0.1974 0.8026 0.5000  8 Tl 3.16-3.48
Tl 0.3916 0.6084 0.0000  2 Fe 2.95, 2 Tl 3.16
Tl 0.6084 0.3916 0.0000  2 Fe 2.95, 2 Tl 3.16
Tl 0.8026 0.1974 0.5000  8 Tl 3.16-3.48
Fe 0.5000 0.5000 0.5000  8 Tl 2.81-2.95


## ii
The following is a PBE-GGA calculation of a relaxed Tl5Fe crystal, from Alexandria via LeMat-Bulk.

Properties
**Space-group type**: P6/mmm (191)
**Fermi-level density of states**: 8.4 states/eV per cell
**Magnetization**: 3.29 μB/f.u.

abc: 6.1228 6.1228 5.9769
angles: 90.00 90.00 120.00
Closest atoms and distances in Å follow each position.
Positions (direct):
Tl 0.0000 0.5000 0.0000  4 Tl 3.06
Tl 0.3333 0.6667 0.5000  9 Tl 3.47-3.53, 3 Fe 3.53
Tl 0.5000 0.0000 0.0000  4 Tl 3.06
Tl 0.5000 0.5000 0.0000  4 Tl 3.06
Tl 0.6667 0.3333 0.5000  9 Tl 3.47-3.53, 3 Fe 3.53
Fe 0.0000 0.0000 0.5000  6 Tl 3.53


Which one sits at the top of the stability order? i does.


## i
The following is a PBE-GGA calculation of a relaxed Tl5Fe3 crystal, from Alexandria via LeMat-Bulk.

Properties
**Space-group type**: Cmmm (65)
**Fermi-level density of states**: 7.2 states/eV per cell
**Magnetization**: 8.29 μB/f.u.

abc: 7.6795 7.6795 3.2314
angles: 90.00 90.00 100.50
Closest atoms and distances in Å follow each position.
Positions (direct):
Tl 0.0000 0.0000 0.0000  6 Tl 3.15-3.23
Tl 0.0000 0.5000 0.0000  4 Fe 3.09, 6 Tl 3.23-3.37
Tl 0.2752 0.2752 0.5000  4 Fe 2.74-2.97
Tl 0.5000 0.0000 0.0000  4 Fe 3.09, 6 Tl 3.23-3.37
Tl 0.7248 0.7248 0.5000  4 Fe 2.74-2.97
Fe 0.3320 0.6680 0.5000  2 Fe 2.56
Fe 0.5000 0.5000 0.0000  4 Fe 2.56, 4 Tl 2.74
Fe 0.6680 0.3320 0.5000  2 Fe 2.56


## ii
The following is a PBE-GGA calculation of a relaxed Tl5Fe3 crystal, from Alexandria via LeMat-Bulk.

Properties
**Space-group type**: P-1 (2)
**Fermi-level density of states**: 13.1 states/eV per cell
**Magnetization**: 7.46 μB/f.u.

abc: 5.9916 6.5015 10.0072
angles: 83.84 74.79 79.76
Closest atoms and distances in Å follow each position.
Positions (direct):
Tl 0.0324 0.2230 0.0283  4 Fe 2.79-3.03, 1 Tl 3.12
Tl 0.2404 0.9386 0.5886  2 Fe 2.81-2.90
Tl 0.2414 0.4238 0.6843  3 Fe 2.74-2.91
Tl 0.2897 0.8486 0.2327  4 Fe 2.72-2.95
Tl 0.3145 0.3300 0.2965  4 Fe 2.71-2.93
Tl 0.6855 0.6700 0.7035  4 Fe 2.71-2.93
Tl 0.7103 0.1514 0.7673  4 Fe 2.72-2.95
Tl 0.7586 0.5762 0.3157  3 Fe 2.74-2.91
Tl 0.7596 0.0614 0.4114  2 Fe 2.81-2.90
Tl 0.9676 0.7770 0.9717  4 Fe 2.79-3.03, 1 Tl 3.12
Fe 0.0402 0.6668 0.4705  1 Fe 2.29
Fe 0.3803 0.4756 0.9282  3 Fe 2.36-2.53
Fe 0.4634 0.8353 0.9535  3 Fe 2.40-2.57
Fe 0.5366 0.1647 0.0465  3 Fe 2.40-2.57
Fe 0.6197 0.5244 0.0718  3 Fe 2.36-2.53
Fe 0.9598 0.3332 0.5295  1 Fe 2.29


Which one sits at the top of the stability order? ii does.